Entry 1:
A relaxed structure of BaTe2Pd2. Source: Alexandria via LeMat-Bulk, functional PBE.

Results
Its energy above the most stable polymorph in this dataset is 2.34 eV per formula unit.

```
BaTe2Pd2
1.0
8.572 0.000 0.000
0.000 8.572 0.000
0.000 0.000 3.427
Ba Te Pd
2 4 4
direct
0.000 0.000 0.000 Ba
0.500 0.500 0.000 Ba
0.148 0.352 0.000 Te
0.352 0.852 0.000 Te
0.648 0.148 0.000 Te
0.852 0.648 0.000 Te
0.159 0.659 0.500 Pd
0.341 0.159 0.500 Pd
0.659 0.841 0.500 Pd
0.841 0.341 0.500 Pd
```

Entry 2:
A relaxed structure of BaTePd. Source: Alexandria via LeMat-Bulk, functional PBE.

```
BaTePd
1.0
6.361 -2.315 0.000
6.361 2.315 0.000
-0.819 0.000 12.639
Ba Te Pd
4 4 4
direct
0.089 0.089 0.135 Ba
0.381 0.381 0.372 Ba
0.619 0.619 0.628 Ba
0.911 0.911 0.865 Ba
0.111 0.111 0.403 Te
0.187 0.187 0.843 Te
0.813 0.813 0.157 Te
0.889 0.889 0.597 Te
0.312 0.312 0.046 Pd
0.326 0.326 0.685 Pd
0.674 0.674 0.315 Pd
0.688 0.688 0.954 Pd
```

Entry 3:
A relaxed structure of BaTePd. Source: Alexandria via LeMat-Bulk, functional PBE.

```
BaTePd
1.0
5.708 0.000 0.000
0.000 4.726 0.000
-0.977 0.000 7.257
Ba Te Pd
2 2 2
direct
0.200 0.250 0.267 Ba
0.800 0.750 0.733 Ba
0.265 0.250 0.753 Te
0.735 0.750 0.247 Te
0.369 0.750 0.941 Pd
0.631 0.250 0.059 Pd
```

Entry 4:
A relaxed structure of Ba2TePd2. Source: Alexandria via LeMat-Bulk, functional PBE.

Results
Its energy above the most stable polymorph in this dataset is 0.12 eV per formula unit.

```
Ba2TePd2
1.0
8.110 0.000 0.000
0.000 8.110 0.000
0.000 0.000 4.484
Ba Te Pd
4 2 4
direct
0.186 0.314 0.000 Ba
0.314 0.814 0.000 Ba
0.686 0.186 0.000 Ba
0.814 0.686 0.000 Ba
0.000 0.000 0.500 Te
0.500 0.500 0.500 Te
0.118 0.618 0.500 Pd
0.382 0.118 0.500 Pd
0.618 0.882 0.500 Pd
0.882 0.382 0.500 Pd
```

Number 1: ΔE_f (raw) -0.41 eV/atom, electronic total energy -41.30 eV per cell. Number 2: ΔE_f (raw) -1.04 eV/atom, electronic total energy -53.55 eV per cell. Number 3: ΔE_f (raw) -1.06 eV/atom, electronic total energy -26.89 eV per cell. Number 4: ΔE_f (raw) -0.81 eV/atom, electronic total energy -42.82 eV per cell.